The following is a DFT calculation (PBE) of crystalline Rb2AlPb2 at its relaxed geometry.

a b c (Å): 9.849 9.849 4.298
angles (deg): 90.00 90.00 90.00
Fractional coordinates of all 10 atoms:
Al1 0.500 0.500 0.000
Al2 0.000 0.000 0.000
Pb1 0.109 0.391 0.000
Pb2 0.609 0.109 0.000
Pb3 0.391 0.891 0.000
Pb4 0.891 0.609 0.000
Rb1 0.691 0.809 0.500
Rb2 0.191 0.691 0.500
Rb3 0.809 0.309 0.500
Rb4 0.309 0.191 0.500

**Volume**: 41.69 A^3/atom
**SG**: No. 127
**Energy of formation from the pure elements**: 0.342 eV/atom
**Uncorrected energy**: -2.28 eV/atom
**Theoretical density**: 4.88 Mg/m³
**E above lowest polymorph**: 0.00 eV per formula unit